Entry from the Alexandria database: crystalline ZnAgCl2 at its relaxed geometry (PBE-GGA).

The formation energy without anion corrections is 0.074 eV/atom.

The space group is F-43m (No. 216) and the conventional cell measures 6.882, 6.882 and 6.882 Å, with angles of 90.00, 90.00 and 90.00 degrees. Symmetry generates all atoms from Zn at (0.000, 0.000, 0.000), Ag at (0.250, 0.250, 0.750), Cl at (0.000, 0.000, 0.500) and Cl at (0.250, 0.250, 0.250).

Entry from the Alexandria database: crystalline Cu3SeO6 at its relaxed geometry (PBE-GGA).

The formation energy without anion corrections is -0.495 eV/atom.

The space group is Cmc2_1 (No. 36) and the conventional cell measures 8.296, 10.597 and 5.594 Å, with angles of 90.00, 90.00 and 90.00 degrees. Symmetry generates all atoms from Cu at (0.000, 0.012, 0.000), Cu at (0.195, 0.375, 0.856), Se at (0.000, 0.334, 0.325), O at (0.000, 0.287, 0.027), O at (0.000, 0.495, 0.331), O at (0.149, 0.008, 0.251) and O at (0.165, 0.278, 0.464).

Entry from the Alexandria database: crystalline SrLaTl2 at its relaxed geometry (PBE-GGA).

For the energy relative to the elements, the calculation gives 246 meV per atom.

The space group is Immm (No. 71) and the conventional cell measures 3.653, 6.506 and 13.451 Å, with angles of 90.00, 90.00 and 90.00 degrees. Symmetry generates all atoms from Sr at (0.000, 0.000, 0.000), La at (0.000, 0.000, 0.500) and Tl at (0.000, 0.000, 0.254).

Entry from the Alexandria database: crystalline MnPd3Br at its relaxed geometry (PBE-GGA).

The formation energy without anion corrections is 0.705 eV/atom.

The space group is Pm-3m (No. 221) and the conventional cell measures 4.739, 4.739 and 4.739 Å, with angles of 90.00, 90.00 and 90.00 degrees. Symmetry generates all atoms from Mn at (0.000, 0.000, 0.000), Pd at (0.000, 0.500, 0.500) and Br at (0.500, 0.500, 0.500).

Entry from the Alexandria database: crystalline Zn2IrBr at its relaxed geometry (PBE-GGA).

The formation energy without anion corrections is 0.052 eV/atom.

The space group is Cm (No. 8) and the conventional cell measures 8.728, 3.111 and 6.956 Å, with angles of 90.00, 112.17 and 90.00 degrees. Symmetry generates all atoms from Zn at (0.000, 0.000, 0.000), Zn at (0.163, 0.500, 0.774), Ir at (0.363, 0.000, 0.700) and Br at (0.265, 0.000, 0.307).

Entry from the Alexandria database: crystalline CaMg4Ag at its relaxed geometry (PBE-GGA).

For the energy relative to the elements, the calculation gives 17 meV per atom.

The space group is F-43m (No. 216) and the conventional cell measures 8.370, 8.370 and 8.370 Å, with angles of 90.00, 90.00 and 90.00 degrees. Symmetry generates all atoms from Ca at (0.000, 0.000, 0.000), Mg at (0.124, 0.124, 0.624) and Ag at (0.250, 0.250, 0.250).

Entry from the Alexandria database: crystalline HgIN3 at its relaxed geometry (PBE-GGA).

The formation energy without anion corrections is 2.748 eV/atom.

The space group is Pm-3m (No. 221) and the conventional cell measures 4.276, 4.276 and 4.276 Å, with angles of 90.00, 90.00 and 90.00 degrees. Symmetry generates all atoms from Hg at (0.000, 0.000, 0.000), I at (0.500, 0.500, 0.500) and N at (0.000, 0.000, 0.500).

Entry from the Alexandria database: crystalline TaAlAu2 at its relaxed geometry (PBE-GGA).

For the energy relative to the elements, the calculation gives -102 meV per atom.

The space group is R3m (No. 160, hexagonal axes) and the conventional cell measures 2.9838, 2.9838 and 26.9954 Å, with angles of 90.00, 90.00 and 120.00 degrees. Symmetry generates all atoms from Ta at (0.0000, 0.0000, 0.0000), Al at (0.0000, 0.0000, 0.1661), Au at (0.0000, 0.0000, 0.5792) and Au at (0.0000, 0.0000, 0.7537).

Entry from the Alexandria database: crystalline MnSeSN2 at its relaxed geometry (PBE-GGA).

The formation energy without anion corrections is 0.753 eV/atom.

The space group is P4/mmm (No. 123) and the conventional cell measures 3.584, 3.584 and 5.385 Å, with angles of 90.00, 90.00 and 90.00 degrees. Symmetry generates all atoms from Mn at (0.000, 0.000, 0.000), Se at (0.500, 0.500, 0.500), S at (0.000, 0.000, 0.500) and N at (0.000, 0.500, 0.000).

Entry from the Alexandria database: crystalline PH3Pb at its relaxed geometry (PBE-GGA).

As for the total energy: -3.2841 eV/atom.

The space group is Pm-3m (No. 221) and the conventional cell measures 3.790, 3.790 and 3.790 Å, with angles of 90.00, 90.00 and 90.00 degrees. Symmetry generates all atoms from P at (0.000, 0.000, 0.000), H at (0.000, 0.000, 0.500) and Pb at (0.500, 0.500, 0.500).

Entry from the Alexandria database: crystalline HoTmHgRu at its relaxed geometry (PBE-GGA).

For the energy relative to the elements, the calculation gives -385 meV per atom.

The space group is F-43m (No. 216) and the conventional cell measures 7.049, 7.049 and 7.049 Å, with angles of 90.00, 90.00 and 90.00 degrees. Symmetry generates all atoms from Ho at (0.000, 0.000, 0.000), Tm at (0.000, 0.000, 0.500), Hg at (0.250, 0.250, 0.250) and Ru at (0.250, 0.250, 0.750).

Entry from the Alexandria database: crystalline CuAg3Au at its relaxed geometry (PBE-GGA).

For the energy relative to the elements, the calculation gives 645 meV per atom.

The space group is Pm-3m (No. 221) and the conventional cell measures 4.761, 4.761 and 4.761 Å, with angles of 90.00, 90.00 and 90.00 degrees. Symmetry generates all atoms from Cu at (0.000, 0.000, 0.000), Ag at (0.000, 0.000, 0.500) and Au at (0.500, 0.500, 0.500).